[1]
Crystalline LiZnPd at its relaxed geometry. Source: the Alexandria database, functional PBE.

Properties
* formation energy: -0.478 eV/atom

Cell: 4.3110 4.3110 5.3010 Å, 90.00 90.00 120.00°
Closest atoms and distances in Å follow each position.
Sites, in units of the cell vectors:
Li  0.0000  0.0000  0.0000  5 Zn 2.63-2.67, 3 Li 2.65
Li  0.3333  0.6667  0.8259  5 Pd 2.63-2.68, 3 Li 2.65
Zn  0.0000  0.0000  0.5039  6 Pd 2.63-2.65, 2 Li 2.63-2.67
Zn  0.6667  0.3333  0.1585  3 Li 2.63, 5 Pd 2.63-2.67
Pd  0.3333  0.6667  0.3307  2 Li 2.63-2.68, 6 Zn 2.65
Pd  0.6667  0.3333  0.6628  5 Zn 2.63-2.67, 3 Li 2.63

[2]
Crystalline MnV2Cr at its relaxed geometry. Source: the Alexandria database, functional PBE.

Properties
* formation energy: -0.196 eV/atom

Cell: 4.0965 4.0965 2.8868 Å, 90.00 90.00 90.00°
Closest atoms and distances in Å follow each position.
Sites, in units of the cell vectors:
Mn  0.0000  0.0000  0.0000  8 V 2.51
V  0.0000  0.5000  0.5000  4 Cr 2.51, 4 Mn 2.51
V  0.5000  0.0000  0.5000  4 Cr 2.51, 4 Mn 2.51
Cr  0.5000  0.5000  0.0000  8 V 2.51

[3]
Crystalline Na3ZrPa2Te6 at its relaxed geometry. Source: the Alexandria database, functional PBE.

Properties
* formation energy from raw total energies: -1017 kJ/mol of formula units

Cell: 7.3267 7.3267 8.2748 Å, 98.49 98.49 119.98°
Closest atoms and distances in Å follow each position.
Sites, in units of the cell vectors:
Na  0.0000  0.0000  0.0000  6 Te 3.19-3.28
Na  0.3294  0.6706  0.0000  6 Te 3.19-3.25
Na  0.6706  0.3294  0.0000  6 Te 3.19-3.25
Zr  0.5000  0.5000  0.5000  6 Te 3.00-3.01
Pa  0.1658  0.8342  0.5000  6 Te 3.10-3.11
Pa  0.8342  0.1658  0.5000  6 Te 3.10-3.11
Te  0.0998  0.4221  0.2650  1 Zr 3.00, 2 Pa 3.10-3.11, 3 Na 3.19-3.25
Te  0.2574  0.2574  0.7362  1 Zr 3.01, 2 Pa 3.10, 3 Na 3.21-3.28
Te  0.4221  0.0998  0.2650  1 Zr 3.00, 2 Pa 3.10-3.11, 3 Na 3.19-3.25
Te  0.5779  0.9002  0.7350  1 Zr 3.00, 2 Pa 3.10-3.11, 3 Na 3.19-3.25
Te  0.7426  0.7426  0.2638  1 Zr 3.01, 2 Pa 3.10, 3 Na 3.21-3.28
Te  0.9002  0.5779  0.7350  1 Zr 3.00, 2 Pa 3.10-3.11, 3 Na 3.19-3.25

[4]
Crystalline KH8Pt2 at its relaxed geometry. Source: the Alexandria database, functional PBE.

Properties
* E: -3.77 eV/atom

Cell: 6.4529 6.4529 3.6051 Å, 90.00 90.00 130.14°
Closest atoms and distances in Å follow each position.
Sites, in units of the cell vectors:
K  0.0000  0.0000  0.0000  14 H 2.75-2.89
H  0.1025  0.4074  0.5000  2 Pt 1.75-1.80
H  0.2440  0.7560  0.0000  2 Pt 1.80
H  0.4074  0.1025  0.5000  2 Pt 1.75-1.80
H  0.5000  0.5000  0.1050  1 H 0.76
H  0.5000  0.5000  0.8950  1 H 0.76
H  0.5926  0.8975  0.5000  2 Pt 1.75-1.80
H  0.7560  0.2440  0.0000  2 Pt 1.80
H  0.8975  0.5926  0.5000  2 Pt 1.75-1.80
Pt  0.2437  0.7563  0.5000  6 H 1.75-1.80
Pt  0.7563  0.2437  0.5000  6 H 1.75-1.80

[5]
Crystalline VGaIBr2 at its relaxed geometry. Source: the Alexandria database, functional PBE.

Properties
* formation energy from raw total energies: 125 kJ/mol of formula units

Cell: 5.0155 5.0155 6.1261 Å, 90.00 90.00 90.00°
Closest atoms and distances in Å follow each position.
Sites, in units of the cell vectors:
V  0.0000  0.0000  0.0000  2 Ga 3.06
Ga  0.0000  0.0000  0.5000  4 Br 2.51
I  0.5000  0.5000  0.0000  4 V 3.55, 8 Br 3.96
Br  0.0000  0.5000  0.5000  2 Ga 2.51
Br  0.5000  0.0000  0.5000  2 Ga 2.51

[6]
Crystalline RbDy2N at its relaxed geometry. Source: the Alexandria database, functional PBE.

Properties
* formation energy from raw total energies: -195 kJ/mol of formula units

Cell: 10.5695 10.5695 10.5695 Å, 19.38 19.38 19.38°
Closest atoms and distances in Å follow each position.
Sites, in units of the cell vectors:
Rb  0.0000  0.0000  0.0000  6 Rb 3.56, 2 Dy 3.87
Dy  0.1245  0.1245  0.1245  3 N 2.44
Dy  0.8755  0.8755  0.8755  3 N 2.44
N  0.5000  0.5000  0.5000  6 Dy 2.44

[7]
Crystalline MnCo2Ni6 at its relaxed geometry. Source: the Alexandria database, functional PBE.

Properties
* formation energy: 0.298 eV/atom

Cell: 4.7292 4.7292 5.5560 Å, 90.00 90.00 120.00°
Closest atoms and distances in Å follow each position.
Sites, in units of the cell vectors:
Mn  0.0000  0.0000  0.0000  6 Ni 2.29
Co  0.3333  0.6667  0.0810  9 Ni 2.61-2.72, 3 Mn 2.77, 3 Co 2.88
Co  0.6667  0.3333  0.9190  9 Ni 2.61-2.72, 3 Mn 2.77, 3 Co 2.88
Ni  0.1716  0.3432  0.6754  1 Mn 2.29, 6 Ni 2.29-2.43
Ni  0.1716  0.8284  0.6754  1 Mn 2.29, 6 Ni 2.29-2.43
Ni  0.3432  0.1716  0.3246  1 Mn 2.29, 6 Ni 2.29-2.43
Ni  0.6568  0.8284  0.6754  1 Mn 2.29, 6 Ni 2.29-2.43
Ni  0.8284  0.1716  0.3246  1 Mn 2.29, 6 Ni 2.29-2.43
Ni  0.8284  0.6568  0.3246  1 Mn 2.29, 6 Ni 2.29-2.43

[8]
Crystalline P2RuF at its relaxed geometry. Source: the Alexandria database, functional PBE.

Properties
* formation energy from raw total energies: -66 kJ/mol of formula units

Cell: 4.1254 4.1254 4.1254 Å, 60.00 60.00 60.00°
Closest atoms and distances in Å follow each position.
Sites, in units of the cell vectors:
P  0.2500  0.2500  0.2500  4 F 2.53, 4 Ru 2.53
P  0.7500  0.7500  0.7500  4 F 2.53, 4 Ru 2.53
Ru  0.0000  0.0000  0.0000  8 P 2.53
F  0.5000  0.5000  0.5000  8 P 2.53

[9]
Crystalline Tl2Hg4H5 at its relaxed geometry. Source: the Alexandria database, functional PBE.

Properties
* E: -1.78 eV/atom

Cell: 6.5257 6.5257 7.3594 Å, 121.39 121.39 57.10°
Closest atoms and distances in Å follow each position.
Sites, in units of the cell vectors:
Tl  0.1862  0.1862  0.1803  5 H 2.65-2.91
Tl  0.8138  0.8138  0.8197  5 H 2.65-2.91
Hg  0.1705  0.1705  0.6526  4 H 3.07, 2 Hg 3.15-3.36, 2 Tl 3.40
Hg  0.4972  0.4972  0.2262  2 H 1.73
Hg  0.5028  0.5028  0.7738  2 H 1.73
Hg  0.8295  0.8295  0.3474  4 H 3.07, 2 Hg 3.15-3.36, 2 Tl 3.40
H  0.2212  0.7697  0.1931  1 Hg 1.73
H  0.2303  0.7788  0.8069  1 Hg 1.73
H  0.5000  0.5000  0.5000  2 Hg 2.00
H  0.7697  0.2212  0.1931  1 Hg 1.73
H  0.7788  0.2303  0.8069  1 Hg 1.73

[10]
Crystalline K3Pr3IrO8 at its relaxed geometry. Source: the Alexandria database, functional PBE.

Properties
* formation energy from raw total energies: -3114 kJ/mol of formula units

Cell: 7.5099 7.5099 7.5099 Å, 56.32 56.32 56.32°
Closest atoms and distances in Å follow each position.
Sites, in units of the cell vectors:
K  0.0000  0.5000  0.5000  6 O 2.81-2.82
K  0.5000  0.0000  0.5000  6 O 2.81-2.82
K  0.5000  0.5000  0.0000  6 O 2.81-2.82
Pr  0.0000  0.0000  0.5000  6 O 2.38-2.44
Pr  0.0000  0.5000  0.0000  6 O 2.38-2.44
Pr  0.5000  0.0000  0.0000  6 O 2.38-2.44
Ir  0.5000  0.5000  0.5000  6 O 2.12
O  0.2311  0.2311  0.2311  3 Pr 2.38
O  0.2633  0.7062  0.7062  1 Ir 2.12
O  0.2938  0.2938  0.7367  1 Ir 2.12
O  0.2938  0.7367  0.2938  1 Ir 2.12
O  0.7062  0.2633  0.7062  1 Ir 2.12
O  0.7062  0.7062  0.2633  1 Ir 2.12
O  0.7367  0.2938  0.2938  1 Ir 2.12
O  0.7689  0.7689  0.7689  3 Pr 2.38

[11]
Crystalline Sr4ZnAu at its relaxed geometry. Source: the Alexandria database, functional PBE.

Properties
* formation energy: -0.327 eV/atom

Cell: 3.9579 3.9579 14.0683 Å, 90.00 90.00 90.00°
Closest atoms and distances in Å follow each position.
Sites, in units of the cell vectors:
Sr  0.0000  0.0000  0.1293  4 Au 3.34, 1 Sr 3.64
Sr  0.0000  0.0000  0.8707  4 Au 3.34, 1 Sr 3.64
Sr  0.5000  0.5000  0.3647  4 Zn 3.38
Sr  0.5000  0.5000  0.6353  4 Zn 3.38
Zn  0.0000  0.0000  0.5000  8 Sr 3.38
Au  0.5000  0.5000  0.0000  8 Sr 3.34

[12]
Crystalline CoAs2Au at its relaxed geometry. Source: the Alexandria database, functional PBE.

Properties
* formation energy: 0.083 eV/atom

Cell: 6.6094 6.6094 6.6094 Å, 154.86 146.44 42.39°
Closest atoms and distances in Å follow each position.
Sites, in units of the cell vectors:
Co  0.0000  0.0000  0.0000  6 As 2.40-2.46
As  0.1563  0.6563  0.5000  2 Co 2.40
As  0.4518  0.4518  0.0000  4 Co 2.46
Au  0.7879  0.2879  0.5000  6 As 2.78-2.89, 2 Au 2.88, 2 Co 2.98